Below is a PBEsol-optimized structure of InMoCl2, with properties calculated at the SCAN level.

## Properties
Volume ... 262 Å³ per cell
Total magnetic moment ... 0.000 μB/atom
DOS(E_F) ... 0.46 states/eV/atom
Formation energy from raw total energies ... -299 meV per atom

Unit cell a=3.101 b=3.101 c=31.449 alpha=90.00 beta=90.00 gamma=120.00
Element x y z (fractional)
In (0.000, 0.000, 0.000)
In (0.333, 0.667, 0.667)
In (0.667, 0.333, 0.333)
Mo (0.000, 0.000, 0.500)
Mo (0.333, 0.667, 0.167)
Mo (0.667, 0.333, 0.833)
Cl (0.000, 0.000, 0.220)
Cl (0.000, 0.000, 0.780)
Cl (0.333, 0.667, 0.447)
Cl (0.333, 0.667, 0.887)
Cl (0.667, 0.333, 0.113)
Cl (0.667, 0.333, 0.553)

***

Below is a PBEsol-optimized structure of InNCl2, with properties calculated at the SCAN level.

## Properties
Volume ... 177 Å³ per cell
Total magnetic moment ... 0.000 μB/atom
Formation energy from raw total energies ... 710 meV per atom

Unit cell a=6.306 b=6.306 c=6.306 alpha=60.00 beta=60.00 gamma=60.00
Element x y z (fractional)
In (0.125, 0.125, 0.125)
In (0.875, 0.875, 0.875)
N (0.375, 0.375, 0.375)
N (0.625, 0.625, 0.625)
Cl (0.000, 0.500, 0.500)
Cl (0.500, 0.000, 0.500)
Cl (0.500, 0.500, 0.000)
Cl (0.500, 0.500, 0.500)

***

Below is a PBEsol-optimized structure of InPdN2Cl, with properties calculated at the SCAN level.

## Properties
Volume ... 90 Å³ per cell
Total magnetic moment ... 0.800 μB/atom
DOS(E_F) ... 0.48 states/eV/atom
Formation energy from raw total energies ... 1291 meV per atom

Unit cell a=4.124 b=4.124 c=5.285 alpha=90.00 beta=90.00 gamma=90.00
Element x y z (fractional)
In (0.000, 0.000, 0.000)
Pd (0.500, 0.500, 0.500)
N (0.000, 0.500, 0.000)
N (0.500, 0.000, 0.000)
Cl (0.000, 0.000, 0.500)

***

Below is a PBEsol-optimized structure of InS2NCl, with properties calculated at the SCAN level.

## Properties
Volume ... 112 Å³ per cell
Total magnetic moment ... 1.000 μB/atom
DOS(E_F) ... 0.38 states/eV/atom
Formation energy from raw total energies ... 987 meV per atom

Unit cell a=5.145 b=5.145 c=4.220 alpha=90.00 beta=90.00 gamma=90.00
Element x y z (fractional)
In (0.000, 0.000, 0.000)
S (0.000, 0.500, 0.000)
S (0.500, 0.000, 0.000)
N (0.000, 0.000, 0.500)
Cl (0.500, 0.500, 0.500)

***

Below is a PBEsol-optimized structure of InS2NCl, with properties calculated at the SCAN level.

## Properties
Volume ... 83 Å³ per cell
Total magnetic moment ... 0.212 μB/atom
DOS(E_F) ... 0.46 states/eV/atom
Formation energy from raw total energies ... 1397 meV per atom

Unit cell a=4.868 b=4.868 c=3.517 alpha=90.00 beta=90.00 gamma=90.00
Element x y z (fractional)
In (0.000, 0.000, 0.000)
S (0.000, 0.500, 0.500)
S (0.500, 0.000, 0.500)
N (0.500, 0.500, 0.000)
Cl (0.500, 0.500, 0.500)

***

Below is a PBEsol-optimized structure of Na3InCl6, with properties calculated at the SCAN level.

## Properties
Volume ... 507 Å³ per cell
Total magnetic moment ... 0.000 μB/atom
DOS(E_F) ... 0.00 states/eV/atom
Formation energy from raw total energies ... -1737 meV per atom

Unit cell a=6.886 b=6.886 c=12.356 alpha=90.00 beta=90.00 gamma=120.00
Element x y z (fractional)
Na (0.000, 0.000, 0.250)
Na (0.000, 0.000, 0.750)
Na (0.333, 0.667, 0.039)
Na (0.333, 0.667, 0.461)
Na (0.667, 0.333, 0.539)
Na (0.667, 0.333, 0.961)
In (0.333, 0.667, 0.750)
In (0.667, 0.333, 0.250)
Cl (0.048, 0.364, 0.872)
Cl (0.048, 0.684, 0.628)
Cl (0.316, 0.364, 0.628)
Cl (0.316, 0.952, 0.872)
Cl (0.364, 0.048, 0.372)
Cl (0.364, 0.316, 0.128)
Cl (0.636, 0.684, 0.872)
Cl (0.636, 0.952, 0.628)
Cl (0.684, 0.048, 0.128)
Cl (0.684, 0.636, 0.372)
Cl (0.952, 0.316, 0.372)
Cl (0.952, 0.636, 0.128)

***

Below is a PBEsol-optimized structure of Rb2NaInCl6, with properties calculated at the SCAN level.

## Properties
Volume ... 280 Å³ per cell
Total magnetic moment ... 0.000 μB/atom
DOS(E_F) ... 0.00 states/eV/atom
Formation energy from raw total energies ... -1843 meV per atom

Unit cell a=7.342 b=7.342 c=7.342 alpha=60.00 beta=60.00 gamma=60.00
Element x y z (fractional)
Rb (0.250, 0.250, 0.250)
Rb (0.750, 0.750, 0.750)
Na (0.000, 0.000, 0.000)
In (0.500, 0.500, 0.500)
Cl (0.259, 0.259, 0.741)
Cl (0.259, 0.741, 0.259)
Cl (0.259, 0.741, 0.741)
Cl (0.741, 0.259, 0.259)
Cl (0.741, 0.259, 0.741)
Cl (0.741, 0.741, 0.259)

***

Below is a PBEsol-optimized structure of NaInRe2Cl, with properties calculated at the SCAN level.

## Properties
Volume ... 90 Å³ per cell
Total magnetic moment ... 0.000 μB/atom
DOS(E_F) ... 0.61 states/eV/atom
Formation energy from raw total energies ... 1317 meV per atom

Unit cell a=4.381 b=4.381 c=4.679 alpha=90.00 beta=90.00 gamma=90.00
Element x y z (fractional)
Na (0.000, 0.000, 0.000)
In (0.500, 0.500, 0.000)
Re (0.000, 0.500, 0.500)
Re (0.500, 0.000, 0.500)
Cl (0.000, 0.000, 0.500)

***

Below is a PBEsol-optimized structure of Nb2InCl, with properties calculated at the SCAN level.

## Properties
Volume ... 285 Å³ per cell
Total magnetic moment ... 0.000 μB/atom
DOS(E_F) ... 0.29 states/eV/atom
Formation energy from raw total energies ... 322 meV per atom

Unit cell a=6.584 b=6.584 c=6.584 alpha=90.00 beta=90.00 gamma=90.00
Element x y z (fractional)
Nb (0.250, 0.250, 0.250)
Nb (0.250, 0.250, 0.750)
Nb (0.250, 0.750, 0.250)
Nb (0.250, 0.750, 0.750)
Nb (0.750, 0.250, 0.250)
Nb (0.750, 0.250, 0.750)
Nb (0.750, 0.750, 0.250)
Nb (0.750, 0.750, 0.750)
In (0.000, 0.000, 0.000)
In (0.000, 0.500, 0.500)
In (0.500, 0.000, 0.500)
In (0.500, 0.500, 0.000)
Cl (0.000, 0.000, 0.500)
Cl (0.000, 0.500, 0.000)
Cl (0.500, 0.000, 0.000)
Cl (0.500, 0.500, 0.500)

***

Below is a PBEsol-optimized structure of Nb3In2Cl9, with properties calculated at the SCAN level.

## Properties
Volume ... 694 Å³ per cell
Total magnetic moment ... 0.000 μB/atom
Formation energy from raw total energies ... -1288 meV per atom

Unit cell a=9.421 b=9.421 c=9.444 alpha=104.47 beta=104.47 gamma=112.20
Element x y z (fractional)
Nb (0.041, 0.227, 0.644)
Nb (0.110, 0.110, 0.365)
Nb (0.227, 0.041, 0.644)
Nb (0.773, 0.959, 0.356)
Nb (0.890, 0.890, 0.635)
Nb (0.959, 0.773, 0.356)
In (0.241, 0.553, 0.167)
In (0.447, 0.759, 0.833)
In (0.553, 0.241, 0.167)
In (0.759, 0.447, 0.833)
Cl (0.082, 0.861, 0.173)
Cl (0.092, 0.513, 0.828)
Cl (0.139, 0.918, 0.827)
Cl (0.176, 0.397, 0.511)
Cl (0.219, 0.781, 0.500)
Cl (0.248, 0.248, 0.199)
Cl (0.320, 0.320, 0.840)
Cl (0.397, 0.176, 0.511)
Cl (0.487, 0.908, 0.172)
Cl (0.513, 0.092, 0.828)
Cl (0.603, 0.824, 0.489)
Cl (0.680, 0.680, 0.160)
Cl (0.752, 0.752, 0.801)
Cl (0.781, 0.219, 0.500)
Cl (0.824, 0.603, 0.489)
Cl (0.861, 0.082, 0.173)
Cl (0.908, 0.487, 0.172)
Cl (0.918, 0.139, 0.827)

***

Below is a PBEsol-optimized structure of NdIn2Cl5, with properties calculated at the SCAN level.

## Properties
Volume ... 859 Å³ per cell
Total magnetic moment ... 0.000 μB/atom
DOS(E_F) ... 0.00 states/eV/atom
Formation energy from raw total energies ... -1746 meV per atom

Unit cell a=12.500 b=8.649 c=7.941 alpha=90.00 beta=90.00 gamma=90.00
Element x y z (fractional)
Nd (0.006, 0.250, 0.078)
Nd (0.494, 0.750, 0.578)
Nd (0.506, 0.250, 0.422)
Nd (0.994, 0.750, 0.922)
In (0.172, 0.008, 0.557)
In (0.172, 0.492, 0.557)
In (0.328, 0.508, 0.057)
In (0.328, 0.992, 0.057)
In (0.672, 0.008, 0.943)
In (0.672, 0.492, 0.943)
In (0.828, 0.508, 0.443)
In (0.828, 0.992, 0.443)
Cl (0.005, 0.250, 0.426)
Cl (0.075, 0.545, 0.169)
Cl (0.075, 0.955, 0.169)
Cl (0.188, 0.250, 0.886)
Cl (0.209, 0.750, 0.841)
Cl (0.291, 0.250, 0.341)
Cl (0.312, 0.750, 0.386)
Cl (0.425, 0.045, 0.669)
Cl (0.425, 0.455, 0.669)
Cl (0.495, 0.750, 0.926)
Cl (0.505, 0.250, 0.074)
Cl (0.575, 0.545, 0.331)
Cl (0.575, 0.955, 0.331)
Cl (0.688, 0.250, 0.614)
Cl (0.709, 0.750, 0.659)
Cl (0.791, 0.250, 0.159)
Cl (0.812, 0.750, 0.114)
Cl (0.925, 0.045, 0.831)
Cl (0.925, 0.455, 0.831)
Cl (0.995, 0.750, 0.574)

***

Below is a PBEsol-optimized structure of In3NiCl, with properties calculated at the SCAN level.

## Properties
Volume ... 118 Å³ per cell
Total magnetic moment ... 0.000 μB/atom
DOS(E_F) ... 0.05 states/eV/atom
Formation energy from raw total energies ... -480 meV per atom

Unit cell a=4.903 b=4.903 c=4.903 alpha=90.00 beta=90.00 gamma=90.00
Element x y z (fractional)
In (0.000, 0.000, 0.500)
In (0.000, 0.500, 0.000)
In (0.500, 0.000, 0.000)
Ni (0.000, 0.000, 0.000)
Cl (0.500, 0.500, 0.500)

***

- Which formula does entry 9 have?
  Nb2InCl